MnCuSe2N after structural relaxation. Source: the Alexandria database, functional GGA-PBE.

Cell lengths 4.9907, 4.9907, 3.5761 Å; angles 90.00, 90.00, 90.00 degrees
Site moments in Bohr magnetons follow the coordinates.
Atoms (fractional coordinates):
1 Cu 0.0000 0.0000 0.0000  0.12
2 N 0.0000 0.0000 0.5000  0.76
3 Se 0.0000 0.5000 0.0000  -0.01
4 Se 0.5000 0.0000 0.0000  -0.01
5 Mn 0.5000 0.5000 0.5000  4.35

Output
- energy above the lowest structure with this stoichiometry (meV per atom) = 437
- spin magnetization (μB/cell) = 5.81
- symmetry = P4/mmm